## P
Computed, not measured: an optimized crystal structure of HoIrAu at the PBE-GGA level of DFT.

POSCAR file:
```
HoIrAu
1.0
6.499 0.000 0.000
0.000 6.499 0.000
0.000 0.000 6.499
Ho Ir Au
4 4 4
Direct
0.000 0.000 0.000
0.000 0.500 0.500
0.500 0.000 0.500
0.500 0.500 0.000
0.250 0.250 0.250
0.250 0.750 0.750
0.750 0.250 0.750
0.750 0.750 0.250
0.250 0.250 0.750
0.250 0.750 0.250
0.750 0.250 0.250
0.750 0.750 0.750
```

Summary:
Crystal system: cubic

=====

## Q
Computed, not measured: an optimized crystal structure of HoIrAu at the PBE-GGA level of DFT.

POSCAR file:
```
HoIrAu
1.0
6.477 0.000 0.000
0.000 6.477 0.000
0.000 0.000 6.477
Ho Ir Au
4 4 4
Direct
0.000 0.000 0.000
0.000 0.500 0.500
0.500 0.000 0.500
0.500 0.500 0.000
0.250 0.250 0.750
0.250 0.750 0.250
0.750 0.250 0.250
0.750 0.750 0.750
0.000 0.000 0.500
0.000 0.500 0.000
0.500 0.000 0.000
0.500 0.500 0.500
```

Summary:
Crystal system: cubic

=====

Of them, Q has the highest stability.

=====

## P
Computed, not measured: an optimized crystal structure of HoNbAu at the PBE-GGA level of DFT.

POSCAR file:
```
HoNbAu
1.0
6.682 0.000 0.000
0.000 6.682 0.000
0.000 0.000 6.682
Ho Nb Au
4 4 4
Direct
0.000 0.000 0.000
0.000 0.500 0.500
0.500 0.000 0.500
0.500 0.500 0.000
0.250 0.250 0.250
0.250 0.750 0.750
0.750 0.250 0.750
0.750 0.750 0.250
0.250 0.250 0.750
0.250 0.750 0.250
0.750 0.250 0.250
0.750 0.750 0.750
```

Summary:
Crystal system: cubic

=====

## Q
Computed, not measured: an optimized crystal structure of HoNbAu at the PBE-GGA level of DFT.

POSCAR file:
```
HoNbAu
1.0
6.571 0.000 0.000
0.000 6.571 0.000
0.000 0.000 6.571
Ho Nb Au
4 4 4
Direct
0.000 0.000 0.000
0.000 0.500 0.500
0.500 0.000 0.500
0.500 0.500 0.000
0.250 0.250 0.750
0.250 0.750 0.250
0.750 0.250 0.250
0.750 0.750 0.750
0.000 0.000 0.500
0.000 0.500 0.000
0.500 0.000 0.000
0.500 0.500 0.500
```

Summary:
Crystal system: cubic

=====

Of them, Q has the highest stability.

=====

## P
Computed, not measured: an optimized crystal structure of Ho2Au2O5 at the PBE-GGA level of DFT.

POSCAR file:
```
Ho2Au2O5
1.0
4.166 0.000 0.000
0.000 4.166 0.000
0.000 0.000 6.938
Ho Au O
2 2 5
Direct
0.000 0.000 0.000
0.000 0.000 0.500
0.500 0.500 0.191
0.500 0.500 0.809
0.000 0.500 0.225
0.000 0.500 0.775
0.500 0.000 0.225
0.500 0.000 0.775
0.500 0.500 0.500
```

Summary:
Crystal system: tetragonal

=====

## Q
Computed, not measured: an optimized crystal structure of Ho2Au2O5 at the PBE-GGA level of DFT.

POSCAR file:
```
Ho2Au2O5
1.0
3.961 0.000 0.000
0.000 3.961 0.000
0.000 0.000 8.691
Ho Au O
2 2 5
Direct
0.000 0.000 0.247
0.000 0.000 0.753
0.500 0.500 0.000
0.500 0.500 0.500
0.000 0.000 0.000
0.000 0.500 0.350
0.000 0.500 0.650
0.500 0.000 0.350
0.500 0.000 0.650
```

Summary:
Crystal system: tetragonal

=====

Of them, Q has the highest stability.

=====

## P
Computed, not measured: an optimized crystal structure of HoTeAuO at the PBE-GGA level of DFT.

POSCAR file:
```
HoTeAuO
1.0
4.006 0.000 0.000
0.000 4.006 0.000
0.000 0.000 10.033
Ho Te Au O
2 2 2 2
Direct
0.250 0.250 0.106
0.750 0.750 0.894
0.250 0.250 0.716
0.750 0.750 0.284
0.250 0.750 0.500
0.750 0.250 0.500
0.250 0.750 0.000
0.750 0.250 0.000
```

Summary:
Crystal system: tetragonal

=====

## Q
Computed, not measured: an optimized crystal structure of HoTeAuO at the PBE-GGA level of DFT.

POSCAR file:
```
HoTeAuO
1.0
4.399 0.000 0.000
0.000 6.404 0.000
0.000 0.000 6.780
Ho Te Au O
2 2 2 2
Direct
0.000 0.174 0.000
0.000 0.826 0.500
0.500 0.345 0.270
0.500 0.655 0.770
0.500 0.254 0.667
0.500 0.746 0.167
0.000 0.069 0.704
0.000 0.931 0.204
```

Summary:
Crystal system: orthorhombic

=====

Of them, P has the highest stability.

=====

## P
Computed, not measured: an optimized crystal structure of HoTeAuO at the PBE-GGA level of DFT.

POSCAR file:
```
HoTeAuO
1.0
5.662 0.000 0.000
0.000 5.662 0.000
0.000 0.000 10.076
Ho Te Au O
4 4 4 4
Direct
0.000 0.000 0.000
0.000 0.500 0.789
0.500 0.000 0.789
0.500 0.500 0.000
0.000 0.000 0.609
0.000 0.500 0.179
0.500 0.000 0.179
0.500 0.500 0.610
0.250 0.250 0.394
0.250 0.750 0.394
0.750 0.250 0.394
0.750 0.750 0.394
0.250 0.250 0.894
0.250 0.750 0.894
0.750 0.250 0.894
0.750 0.750 0.894
```

Summary:
Crystal system: tetragonal

=====

## Q
Computed, not measured: an optimized crystal structure of HoTeAuO at the PBE-GGA level of DFT.

POSCAR file:
```
HoTeAuO
1.0
7.807 0.000 0.000
0.000 6.291 0.000
-0.058 0.000 6.245
Ho Te Au O
4 4 4 4
Direct
0.094 0.019 0.249
0.094 0.481 0.749
0.906 0.519 0.251
0.906 0.981 0.751
0.309 0.568 0.204
0.309 0.932 0.704
0.691 0.068 0.296
0.691 0.432 0.796
0.408 0.205 0.007
0.408 0.295 0.507
0.592 0.705 0.493
0.592 0.795 0.993
0.005 0.240 0.996
0.005 0.260 0.496
0.995 0.740 0.504
0.995 0.760 0.004
```

Summary:
Crystal system: monoclinic

=====

## R
Computed, not measured: an optimized crystal structure of HoTeAuO at the PBE-GGA level of DFT.

POSCAR file:
```
HoTeAuO
1.0
5.650 0.000 0.000
0.000 5.650 0.000
0.000 0.000 10.176
Ho Te Au O
4 4 4 4
Direct
0.000 0.000 0.000
0.000 0.500 0.210
0.500 0.000 0.210
0.500 0.500 0.000
0.000 0.000 0.390
0.000 0.500 0.826
0.500 0.000 0.826
0.500 0.500 0.390
0.183 0.317 0.594
0.317 0.817 0.594
0.683 0.183 0.594
0.817 0.683 0.594
0.249 0.251 0.106
0.251 0.751 0.106
0.749 0.249 0.106
0.751 0.749 0.106
```

Summary:
Crystal system: tetragonal

=====

## S
Computed, not measured: an optimized crystal structure of HoTeAuO at the PBE-GGA level of DFT.

POSCAR file:
```
HoTeAuO
1.0
10.340 0.000 0.000
0.000 5.682 0.000
0.000 0.000 5.685
Ho Te Au O
4 4 4 4
Direct
0.102 0.250 0.000
0.102 0.750 0.500
0.898 0.250 0.500
0.898 0.750 0.000
0.277 0.250 0.501
0.277 0.750 0.001
0.723 0.250 0.001
0.723 0.750 0.501
0.500 0.000 0.001
0.500 0.000 0.501
0.500 0.500 0.001
0.500 0.500 0.501
0.000 0.000 0.250
0.000 0.000 0.750
0.000 0.500 0.250
0.000 0.500 0.750
```

Summary:
Crystal system: orthorhombic

=====

Of them, S has the highest stability.

=====

## P
Computed, not measured: an optimized crystal structure of HoTeAuO at the PBE-GGA level of DFT.

POSCAR file:
```
HoTeAuO
1.0
10.072 0.000 0.000
0.000 5.661 0.000
0.000 0.000 5.661
Ho Te Au O
4 4 4 4
Direct
0.105 0.000 0.250
0.105 0.500 0.750
0.895 0.000 0.750
0.895 0.500 0.250
0.284 0.001 0.750
0.284 0.499 0.250
0.716 0.501 0.750
0.716 0.999 0.250
0.499 0.750 0.000
0.499 0.750 0.500
0.501 0.250 0.000
0.501 0.250 0.500
0.000 0.250 0.000
0.000 0.250 0.500
0.000 0.750 0.000
0.000 0.750 0.500
```

Summary:
Crystal system: orthorhombic

=====

## Q
Computed, not measured: an optimized crystal structure of HoTeAuO at the PBE-GGA level of DFT.

POSCAR file:
```
HoTeAuO
1.0
20.673 0.000 0.000
0.000 2.840 2.845
0.000 -2.840 2.845
Ho Te Au O
4 4 4 4
Direct
0.051 0.250 0.750
0.449 0.750 0.250
0.551 0.250 0.750
0.949 0.750 0.250
0.138 0.749 0.252
0.362 0.249 0.752
0.638 0.752 0.249
0.862 0.252 0.749
0.250 0.001 0.006
0.250 0.501 0.506
0.750 0.006 0.001
0.750 0.506 0.501
0.000 0.250 0.250
0.000 0.750 0.750
0.500 0.250 0.250
0.500 0.750 0.750
```

Summary:
Crystal system: orthorhombic

=====

## R
Computed, not measured: an optimized crystal structure of HoTeAuO at the PBE-GGA level of DFT.

POSCAR file:
```
HoTeAuO
1.0
5.635 0.000 0.000
0.000 5.664 0.000
0.000 0.000 10.184
Ho Te Au O
4 4 4 4
Direct
0.000 0.000 0.000
0.000 0.500 0.210
0.500 0.000 0.210
0.500 0.500 0.000
0.000 0.000 0.384
0.000 0.500 0.820
0.500 0.000 0.820
0.500 0.500 0.384
0.206 0.161 0.614
0.294 0.661 0.614
0.706 0.339 0.614
0.794 0.839 0.614
0.249 0.249 0.104
0.251 0.749 0.104
0.749 0.251 0.104
0.751 0.751 0.104
```

Summary:
Crystal system: orthorhombic

=====

Of them, Q has the highest stability.

=====

## P
Computed, not measured: an optimized crystal structure of HoPbAuSe3 at the PBE-GGA level of DFT.

POSCAR file:
```
HoPbAuSe3
1.0
2.030 -6.956 0.000
2.030 6.956 0.000
0.000 0.000 10.587
Ho Pb Au Se
2 2 2 6
Direct
0.000 0.000 0.000
0.000 0.000 0.500
0.235 0.765 0.750
0.765 0.235 0.250
0.462 0.538 0.250
0.538 0.462 0.750
0.090 0.910 0.250
0.355 0.645 0.048
0.355 0.645 0.452
0.645 0.355 0.548
0.645 0.355 0.952
0.910 0.090 0.750
```

Summary:
Crystal system: orthorhombic

=====

## Q
Computed, not measured: an optimized crystal structure of HoPbAuSe3 at the PBE-GGA level of DFT.

POSCAR file:
```
HoPbAuSe3
1.0
12.753 0.000 0.000
0.000 4.160 0.000
0.000 0.000 11.408
Ho Pb Au Se
4 4 4 12
Direct
0.005 0.250 0.179
0.495 0.750 0.679
0.505 0.250 0.321
0.995 0.750 0.821
0.207 0.250 0.466
0.293 0.750 0.966
0.707 0.250 0.034
0.793 0.750 0.534
0.201 0.750 0.231
0.299 0.250 0.731
0.701 0.750 0.269
0.799 0.250 0.769
0.034 0.750 0.350
0.109 0.250 0.952
0.186 0.750 0.675
0.314 0.250 0.175
0.391 0.750 0.452
0.466 0.250 0.850
0.534 0.750 0.150
0.609 0.250 0.548
0.686 0.750 0.825
0.814 0.250 0.325
0.891 0.750 0.048
0.966 0.250 0.650
```

Summary:
Crystal system: orthorhombic

=====

Of them, P has the highest stability.

=====

## P
Computed, not measured: an optimized crystal structure of PrHoAu at the PBE-GGA level of DFT.

POSCAR file:
```
PrHoAu
1.0
7.080 0.000 0.000
0.000 5.083 0.000
0.000 0.000 9.306
Pr Ho Au
4 4 4
Direct
0.153 0.250 0.087
0.347 0.750 0.587
0.653 0.250 0.413
0.847 0.750 0.913
0.006 0.250 0.674
0.494 0.750 0.174
0.506 0.250 0.826
0.994 0.750 0.326
0.221 0.250 0.405
0.279 0.750 0.905
0.721 0.250 0.095
0.779 0.750 0.595
```

Summary:
Crystal system: orthorhombic

=====

## Q
Computed, not measured: an optimized crystal structure of PrHoAu at the PBE-GGA level of DFT.

POSCAR file:
```
PrHoAu
1.0
7.285 0.000 0.000
0.000 5.015 0.000
0.000 0.000 9.052
Pr Ho Au
4 4 4
Direct
0.011 0.250 0.178
0.489 0.750 0.678
0.511 0.250 0.322
0.989 0.750 0.822
0.149 0.250 0.581
0.351 0.750 0.081
0.649 0.250 0.919
0.851 0.750 0.419
0.245 0.750 0.402
0.255 0.250 0.902
0.745 0.750 0.098
0.755 0.250 0.598
```

Summary:
Crystal system: orthorhombic

=====

Of them, Q has the highest stability.